# TmAlFe3 | the Alexandria database | GGA-PBE | relaxed
# ΔE_f: -0.0468 eV/atom
# Total magnetic moment: 1.14 μB per atom
data_TmAlFe3
_chemical_formula_sum 'Tm2 Al2 Fe6'
_cell_length_a 6.298
_cell_length_b 6.298
_cell_length_c 6.298
_cell_angle_alpha 134.00
_cell_angle_beta 116.73
_cell_angle_gamma 81.70
_symmetry_space_group_name_H-M 'P 1'
_symmetry_Int_Tables_number 1
loop_
_symmetry_equiv_pos_as_xyz
'x,y,z'
loop_
_atom_site_label
_atom_site_type_symbol
_atom_site_fract_x
_atom_site_fract_y
_atom_site_fract_z
_atom_site_occupancy
Tm1 Tm 0.000 0.000 0.000 1
Tm2 Tm 0.500 0.000 0.500 1
Al1 Al 0.280 0.530 0.750 1
Al2 Al 0.720 0.470 0.250 1
Fe1 Fe 0.132 0.699 0.434 1
Fe2 Fe 0.235 0.301 0.934 1
Fe3 Fe 0.500 0.000 0.000 1
Fe4 Fe 0.500 0.500 0.500 1
Fe5 Fe 0.765 0.699 0.066 1
Fe6 Fe 0.868 0.301 0.566 1


# CaLaAl | the Alexandria database | GGA-PBE | relaxed
# ΔE_f: -0.0689 eV/atom
# Total magnetic moment: 0.00 μB per atom
data_CaLaAl
_chemical_formula_sum 'Ca1 La1 Al1'
_cell_length_a 5.307
_cell_length_b 5.307
_cell_length_c 5.307
_cell_angle_alpha 60.00
_cell_angle_beta 60.00
_cell_angle_gamma 60.00
_symmetry_space_group_name_H-M 'P 1'
_symmetry_Int_Tables_number 1
loop_
_symmetry_equiv_pos_as_xyz
'x,y,z'
loop_
_atom_site_label
_atom_site_type_symbol
_atom_site_fract_x
_atom_site_fract_y
_atom_site_fract_z
_atom_site_occupancy
Ca1 Ca 0.000 0.000 0.000 1
La1 La 0.500 0.500 0.500 1
Al1 Al 0.750 0.750 0.750 1


# CaAcAlPd | the Alexandria database | GGA-PBE | relaxed
# ΔE_f: -0.4804 eV/atom
# Total magnetic moment: 0.06 μB per atom
data_CaAcAlPd
_chemical_formula_sum 'Ca1 Ac1 Al1 Pd1'
_cell_length_a 4.414
_cell_length_b 4.414
_cell_length_c 7.889
_cell_angle_alpha 106.28
_cell_angle_beta 106.28
_cell_angle_gamma 60.06
_symmetry_space_group_name_H-M 'P 1'
_symmetry_Int_Tables_number 1
loop_
_symmetry_equiv_pos_as_xyz
'x,y,z'
loop_
_atom_site_label
_atom_site_type_symbol
_atom_site_fract_x
_atom_site_fract_y
_atom_site_fract_z
_atom_site_occupancy
Ca1 Ca 0.000 0.000 0.000 1
Ac1 Ac 0.180 0.180 0.537 1
Al1 Al 0.751 0.751 0.251 1
Pd1 Pd 0.419 0.419 0.258 1


# CsPmZrO4 | the Alexandria database | GGA-PBE | relaxed
# Total magnetic moment: 0.00 μB per atom
# Formation energy from raw total energies: -19.9 eV per formula unit
data_CsPmZrO4
_chemical_formula_sum 'Cs2 Pm2 Zr2 O8'
_cell_length_a 6.310
_cell_length_b 6.290
_cell_length_c 8.796
_cell_angle_alpha 90.00
_cell_angle_beta 109.82
_cell_angle_gamma 90.00
_symmetry_space_group_name_H-M 'P 1'
_symmetry_Int_Tables_number 1
loop_
_symmetry_equiv_pos_as_xyz
'x,y,z'
loop_
_atom_site_label
_atom_site_type_symbol
_atom_site_fract_x
_atom_site_fract_y
_atom_site_fract_z
_atom_site_occupancy
Cs1 Cs 0.121 0.250 0.142 1
Cs2 Cs 0.879 0.750 0.858 1
Pm1 Pm 0.313 0.750 0.461 1
Pm2 Pm 0.687 0.250 0.539 1
Zr1 Zr 0.236 0.250 0.657 1
Zr2 Zr 0.764 0.750 0.343 1
O1 O 0.004 0.250 0.444 1
O2 O 0.014 0.250 0.774 1
O3 O 0.457 0.020 0.649 1
O4 O 0.457 0.480 0.649 1
O5 O 0.543 0.520 0.351 1
O6 O 0.543 0.980 0.351 1
O7 O 0.986 0.750 0.226 1
O8 O 0.996 0.750 0.556 1


# Ag2HgS2 | the Alexandria database | GGA-PBE | relaxed
# Total magnetic moment: 0.00 μB per atom
# Formation energy from raw total energies: -0.2 eV per formula unit
data_Ag2HgS2
_chemical_formula_sum 'Ag4 Hg2 S4'
_cell_length_a 4.175
_cell_length_b 7.980
_cell_length_c 6.787
_cell_angle_alpha 90.00
_cell_angle_beta 109.95
_cell_angle_gamma 90.00
_symmetry_space_group_name_H-M 'P 1'
_symmetry_Int_Tables_number 1
loop_
_symmetry_equiv_pos_as_xyz
'x,y,z'
loop_
_atom_site_label
_atom_site_type_symbol
_atom_site_fract_x
_atom_site_fract_y
_atom_site_fract_z
_atom_site_occupancy
Ag1 Ag 0.118 0.150 0.401 1
Ag2 Ag 0.118 0.350 0.901 1
Ag3 Ag 0.882 0.650 0.099 1
Ag4 Ag 0.882 0.850 0.599 1
Hg1 Hg 0.500 0.000 0.000 1
Hg2 Hg 0.500 0.500 0.500 1
S1 S 0.310 0.625 0.767 1
S2 S 0.310 0.875 0.267 1
S3 S 0.690 0.125 0.733 1
S4 S 0.690 0.375 0.233 1


# Cu7Pd4Au | the Alexandria database | GGA-PBE | relaxed
# ΔE_f: 0.1280 eV/atom
# Total magnetic moment: 0.00 μB per atom
data_Cu7Pd4Au
_chemical_formula_sum 'Cu7 Pd4 Au1'
_cell_length_a 5.183
_cell_length_b 5.183
_cell_length_c 9.062
_cell_angle_alpha 112.17
_cell_angle_beta 112.17
_cell_angle_gamma 53.36
_symmetry_space_group_name_H-M 'P 1'
_symmetry_Int_Tables_number 1
loop_
_symmetry_equiv_pos_as_xyz
'x,y,z'
loop_
_atom_site_label
_atom_site_type_symbol
_atom_site_fract_x
_atom_site_fract_y
_atom_site_fract_z
_atom_site_occupancy
Cu1 Cu 0.000 0.000 0.000 1
Cu2 Cu 0.156 0.156 0.618 1
Cu3 Cu 0.206 0.206 0.911 1
Cu4 Cu 0.377 0.377 0.530 1
Cu5 Cu 0.623 0.623 0.470 1
Cu6 Cu 0.794 0.794 0.089 1
Cu7 Cu 0.844 0.844 0.382 1
Pd1 Pd 0.090 0.090 0.308 1
Pd2 Pd 0.352 0.352 0.227 1
Pd3 Pd 0.648 0.648 0.773 1
Pd4 Pd 0.910 0.910 0.692 1
Au1 Au 0.500 0.500 0.000 1


# Zr2PbSe | the Alexandria database | GGA-PBE | relaxed
# Total magnetic moment: 0.00 μB per atom
# Formation energy from raw total energies: -1.9 eV per formula unit
data_Zr2PbSe
_chemical_formula_sum 'Zr2 Pb1 Se1'
_cell_length_a 3.374
_cell_length_b 3.959
_cell_length_c 7.033
_cell_angle_alpha 90.00
_cell_angle_beta 99.54
_cell_angle_gamma 90.00
_symmetry_space_group_name_H-M 'P 1'
_symmetry_Int_Tables_number 1
loop_
_symmetry_equiv_pos_as_xyz
'x,y,z'
loop_
_atom_site_label
_atom_site_type_symbol
_atom_site_fract_x
_atom_site_fract_y
_atom_site_fract_z
_atom_site_occupancy
Zr1 Zr 0.098 0.000 0.265 1
Zr2 Zr 0.902 0.000 0.735 1
Pb1 Pb 0.500 0.500 0.000 1
Se1 Se 0.000 0.500 0.500 1


# LiMg2Tc | the Alexandria database | GGA-PBE | relaxed
# ΔE_f: 0.1814 eV/atom
# Total magnetic moment: 0.00 μB per atom
data_LiMg2Tc
_chemical_formula_sum 'Li1 Mg2 Tc1'
_cell_length_a 5.403
_cell_length_b 5.403
_cell_length_c 5.062
_cell_angle_alpha 110.89
_cell_angle_beta 110.89
_cell_angle_gamma 29.55
_symmetry_space_group_name_H-M 'P 1'
_symmetry_Int_Tables_number 1
loop_
_symmetry_equiv_pos_as_xyz
'x,y,z'
loop_
_atom_site_label
_atom_site_type_symbol
_atom_site_fract_x
_atom_site_fract_y
_atom_site_fract_z
_atom_site_occupancy
Li1 Li 0.000 0.000 0.000 1
Mg1 Mg 0.514 0.514 0.517 1
Mg2 Mg 0.755 0.755 0.090 1
Tc1 Tc 0.260 0.260 0.592 1